Cs12Te5Br3 | GGA-PBE | relaxed

## Properties
The formation energy from raw total energies is -101.5 kJ per mole of atoms. Its density of states at the Fermi level is 259.3 states/eV per cell. As for the total magnetization: 1.45 μB/f.u.

a b c (Å): 22.105 22.105 22.105
angles (deg): 90.00 90.00 90.00
Space group Ia-3d (No. 230)
Inequivalent atoms, fractional coordinates:
Cs: 0.025 0.074 0.648
Te: 0.000 0.000 0.000
Te: 0.000 0.250 0.375
Br: 0.000 0.250 0.125